# 1
La2ZnO4: relaxed, GGA-PBEsol.

a = 3.8058 Å, b = 10.9759 Å, c = 11.3011 Å
α = 90.00°, β = 90.00°, γ = 90.00°
Atoms (fractional coordinates):
Zn  0.2500  0.6156  0.8110
Zn  0.7500  0.1156  0.6890
Zn  0.2500  0.8844  0.3110
Zn  0.7500  0.3844  0.1890
O  0.2500  0.1058  0.9822
O  0.2500  0.6767  0.9668
O  0.7500  0.2600  0.7807
O  0.2500  0.4615  0.7466
O  0.7500  0.9615  0.7534
O  0.2500  0.7600  0.7193
O  0.7500  0.1767  0.5332
O  0.7500  0.6058  0.5178
O  0.2500  0.3942  0.4822
O  0.2500  0.8233  0.4668
O  0.7500  0.2400  0.2807
O  0.2500  0.0385  0.2466
O  0.7500  0.5385  0.2534
O  0.2500  0.7400  0.2193
O  0.7500  0.3233  0.0332
O  0.7500  0.8942  0.0178
La  0.2500  0.3048  0.9023
La  0.2500  0.9064  0.8872
La  0.7500  0.4064  0.6128
La  0.7500  0.8048  0.5977
La  0.2500  0.1952  0.4023
La  0.2500  0.5936  0.3872
La  0.7500  0.0936  0.1128
La  0.7500  0.6952  0.0977

Results
**D(E_F)**: 0.00 states/eV per cell
**Total magnetization**: 0.00 μB/f.u.
**Space-group type**: Pnma, No. 62
**E_form (uncorrected)**: -19.9 eV/f.u.
**ρ**: 5.7 g/cm³

***

# 2
LiIrPdF2: relaxed, GGA-PBEsol.

a = 4.0687 Å, b = 4.0687 Å, c = 4.9897 Å
α = 90.00°, β = 90.00°, γ = 90.00°
Last column: magnetic moment on the atom in μB.
Atoms (fractional coordinates):
Ir  0.0000  0.0000  0.5000  1.49
Li  0.5000  0.5000  0.5000  0.00
Pd  0.0000  0.0000  0.0000  0.29
F  0.0000  0.5000  0.0000  0.01
F  0.5000  0.0000  0.0000  0.01

Results
**D(E_F)**: 3.67 states/eV per cell
**Total magnetization**: 1.88 μB/f.u.
**Space-group type**: P4/mmm, No. 123
**E_form (uncorrected)**: -0.2 eV/f.u.
**ρ**: 6.9 g/cm³

***

# 3
Cr2Tc: relaxed, GGA-PBEsol.

a = 4.6881 Å, b = 4.6881 Å, c = 4.6881 Å
α = 60.00°, β = 60.00°, γ = 60.00°
Atoms (fractional coordinates):
Cr  0.1250  0.6250  0.6250
Cr  0.6250  0.6250  0.6250
Cr  0.6250  0.6250  0.1250
Cr  0.6250  0.1250  0.6250
Tc  0.0000  0.0000  0.0000
Tc  0.2500  0.2500  0.2500

Results
**D(E_F)**: 7.79 states/eV per cell
**Total magnetization**: 0.00 μB/f.u.
**Space-group type**: Fd-3m, No. 227
**Energy of formation**: 0.052 eV/atom
**ρ**: 9.2 g/cm³

***

# 4
Y2AlTl: relaxed, GGA-PBEsol.

a = 3.6428 Å, b = 5.1780 Å, c = 5.1782 Å
α = 90.00°, β = 90.00°, γ = 90.00°
Atoms (fractional coordinates):
Y  0.0000  0.0000  0.1245
Y  0.0000  0.5000  0.6255
Tl  0.5000  0.5000  0.1256
Al  0.5000  0.0000  0.6243

Results
**D(E_F)**: 2.07 states/eV per cell
**Total magnetization**: 0.00 μB/f.u.
**Space-group type**: Pmm2, No. 25
**Energy of formation**: -0.413 eV/atom
**ρ**: 7.0 g/cm³

***

# 5
Ta2RePt: relaxed, GGA-PBEsol.

a = 2.7700 Å, b = 4.0404 Å, c = 5.7768 Å
α = 90.00°, β = 95.66°, γ = 90.00°
Atoms (fractional coordinates):
Pt  0.5000  0.5000  0.0000
Re  0.5000  0.5000  0.5000
Ta  0.9267  0.0000  0.7442
Ta  0.0733  0.0000  0.2558

Results
**D(E_F)**: 2.81 states/eV per cell
**Total magnetization**: 0.00 μB/f.u.
**Space-group type**: P2/m, No. 10
**Energy of formation**: -0.322 eV/atom
**ρ**: 19.2 g/cm³

***

# 6
PSe3Cl: relaxed, GGA-PBEsol.

a = 4.8154 Å, b = 4.8154 Å, c = 4.8154 Å
α = 90.00°, β = 90.00°, γ = 90.00°
Atoms (fractional coordinates):
P  0.5000  0.5000  0.5000
Se  0.0000  0.5000  0.0000
Se  0.0000  0.0000  0.5000
Se  0.5000  0.0000  0.0000
Cl  0.0000  0.0000  0.0000

Results
**D(E_F)**: 5.04 states/eV per cell
**Total magnetization**: 0.00 μB/f.u.
**Space-group type**: Pm-3m, No. 221
**E_form (uncorrected)**: 6.1 eV/f.u.
**ρ**: 4.5 g/cm³

***

# 7
Li2MnOF3: relaxed, GGA-PBEsol.

a = 5.9304 Å, b = 5.9304 Å, c = 8.1135 Å
α = 90.00°, β = 90.00°, γ = 90.00°
Last column: magnetic moment on the atom in μB.
Atoms (fractional coordinates):
Li  0.7352  0.7579  0.3698  0.00
Li  0.7579  0.2648  0.1198  0.00
Li  0.7675  0.0152  0.7544  0.00
Li  0.9848  0.7675  0.0044  0.00
Li  0.0152  0.2325  0.5044  0.00
Li  0.2325  0.9848  0.2544  0.00
Li  0.2421  0.7352  0.6198  0.00
Li  0.2648  0.2421  0.8698  0.00
Mn  0.5041  0.7559  0.0064  3.64
Mn  0.4959  0.2441  0.5064  3.64
Mn  0.7559  0.4959  0.7564  3.64
Mn  0.2441  0.5041  0.2564  3.64
O  0.5337  0.2828  0.7302  0.04
O  0.7172  0.5337  0.9802  0.04
O  0.2828  0.4663  0.4802  0.04
O  0.4663  0.7172  0.2302  0.04
F  0.4967  0.7840  0.7649  0.06
F  0.7840  0.5033  0.5149  0.06
F  0.7566  0.0037  0.9920  0.06
F  0.7385  0.0246  0.5074  0.02
F  0.9754  0.7385  0.7574  0.02
F  0.0037  0.2434  0.7420  0.06
F  0.9963  0.7566  0.2420  0.06
F  0.0246  0.2615  0.2574  0.02
F  0.2434  0.9963  0.4920  0.06
F  0.2615  0.9754  0.0074  0.02
F  0.2160  0.4967  0.0149  0.06
F  0.5033  0.2160  0.2649  0.06

Results
**Total magnetization**: 4.00 μB/f.u.
**Space-group type**: P4_1, No. 76
**E_form (uncorrected)**: -17.5 eV/f.u.
**ρ**: 3.3 g/cm³

***

# 8
AsSe2N: relaxed, GGA-PBEsol.

a = 4.4438 Å, b = 4.4438 Å, c = 4.4438 Å
α = 60.00°, β = 60.00°, γ = 60.00°
Last column: magnetic moment on the atom in μB.
Atoms (fractional coordinates):
As  0.5000  0.5000  0.5000  0.03
Se  0.2500  0.2500  0.2500  -0.03
Se  0.7500  0.7500  0.7500  -0.03
N  0.0000  0.0000  0.0000  0.57

Results
**D(E_F)**: 2.26 states/eV per cell
**Total magnetization**: 0.76 μB/f.u.
**Space-group type**: Fm-3m, No. 225
**E_form (uncorrected)**: 5.1 eV/f.u.
**ρ**: 6.6 g/cm³

***

# 9
ReP: relaxed, GGA-PBEsol.

a = 2.9366 Å, b = 3.9393 Å, c = 5.2418 Å
α = 112.07°, β = 106.27°, γ = 90.00°
Atoms (fractional coordinates):
P  0.3892  0.6392  0.7785
P  0.6108  0.3608  0.2215
Re  0.8849  0.1349  0.7698
Re  0.1151  0.8651  0.2302

Results
**D(E_F)**: 1.77 states/eV per cell
**Total magnetization**: 0.00 μB/f.u.
**Space-group type**: Imma, No. 74
**Energy of formation**: 0.010 eV/atom
**ρ**: 13.5 g/cm³

***

# 10
ReSiAu2: relaxed, GGA-PBEsol.

a = 4.4244 Å, b = 4.4244 Å, c = 4.4244 Å
α = 60.00°, β = 60.00°, γ = 60.00°
Atoms (fractional coordinates):
Au  0.0000  0.0000  0.0000
Au  0.2500  0.2500  0.2500
Re  0.5000  0.5000  0.5000
Si  0.7500  0.7500  0.7500

Results
**D(E_F)**: 2.26 states/eV per cell
**Total magnetization**: 0.00 μB/f.u.
**Space-group type**: F-43m, No. 216
**E_form (uncorrected)**: 1.7 eV/f.u.
**ρ**: 16.5 g/cm³

***

# 11
BePbI3: relaxed, GGA-PBEsol.

a = 6.0846 Å, b = 6.0846 Å, c = 6.0846 Å
α = 90.00°, β = 90.00°, γ = 90.00°
Last column: magnetic moment on the atom in μB.
Atoms (fractional coordinates):
Pb  0.0000  0.0000  0.0000  0.01
I  0.0000  0.5000  0.0000  0.05
I  0.0000  0.0000  0.5000  0.05
I  0.5000  0.0000  0.0000  0.05
Be  0.5000  0.5000  0.5000  0.22

Results
**D(E_F)**: 2.07 states/eV per cell
**Total magnetization**: 0.80 μB/f.u.
**Space-group type**: Pm-3m, No. 221
**E_form (uncorrected)**: 2.5 eV/f.u.
**ρ**: 4.4 g/cm³

***

# 12
Mg2TcF: relaxed, GGA-PBEsol.

a = 5.4952 Å, b = 5.4952 Å, c = 5.4952 Å
α = 105.85°, β = 111.31°, γ = 111.31°
Last column: magnetic moment on the atom in μB.
Atoms (fractional coordinates):
Mg  0.0873  0.8750  0.4623  0.00
Mg  0.9127  0.3750  0.7877  0.00
Mg  0.4127  0.5377  0.6250  0.00
Mg  0.5873  0.2123  0.1250  0.00
Tc  0.0000  0.0000  0.0000  1.87
Tc  0.5000  0.7500  0.2500  1.87
F  0.0000  0.5000  0.5000  0.01
F  0.5000  0.2500  0.7500  0.01

Results
**D(E_F)**: 4.46 states/eV per cell
**Total magnetization**: 2.06 μB/f.u.
**Space-group type**: I-42d, No. 122
**E_form (uncorrected)**: -1.6 eV/f.u.
**ρ**: 4.3 g/cm³